[1]
Computed, not measured: a relaxed structure of Li4Bi2IrPd at the PBE-GGA level of DFT.

Its space-group type is No. 115. The value obtained for the calculated total energy is -32.75 eV/cell. For the total magnetic moment, the calculation gives 0.00 μB/cell.

Cell: 4.5828 4.5828 6.4676 Å, 90.00 90.00 90.00°
Closest atoms and distances in Å follow each position.
Fractional coordinates of all 8 atoms:
Ir 0.0000 0.0000 0.5000  4 Bi 2.78, 4 Li 2.80
Li 0.0000 0.5000 0.2524  4 Li 2.80-2.81, 2 Ir 2.80, 2 Pd 2.81
Li 0.5000 0.5000 0.5000  4 Bi 2.78, 4 Li 2.80
Li 0.0000 0.0000 0.0000  4 Li 2.81, 4 Bi 2.83
Li 0.5000 0.0000 0.7476  4 Li 2.80-2.81, 2 Ir 2.80, 2 Pd 2.81
Pd 0.5000 0.5000 0.0000  4 Li 2.81, 4 Bi 2.83
Bi 0.5000 0.0000 0.2569  2 Ir 2.78, 4 Li 2.78-2.83, 2 Pd 2.83
Bi 0.0000 0.5000 0.7431  4 Li 2.78-2.83, 2 Ir 2.78, 2 Pd 2.83

[2]
Computed, not measured: a relaxed structure of Li4BiSbIr2 at the PBE-GGA level of DFT.

Its space-group type is No. 115. The value obtained for the calculated total energy is -36.20 eV/cell. For the total magnetic moment, the calculation gives 0.00 μB/cell.

Cell: 4.4593 4.4593 6.3895 Å, 90.00 90.00 90.00°
Closest atoms and distances in Å follow each position.
Fractional coordinates of all 8 atoms:
Sb 0.0000 0.0000 0.5000  4 Ir 2.68, 4 Li 2.70
Li 0.0000 0.0000 0.0000  4 Li 2.79, 4 Ir 2.80
Li 0.5000 0.0000 0.2630  4 Li 2.70-2.79, 2 Sb 2.70, 2 Bi 2.79, 1 Ir 3.01
Li 0.0000 0.5000 0.7370  2 Sb 2.70, 4 Li 2.70-2.79, 2 Bi 2.79, 1 Ir 3.01
Li 0.5000 0.5000 0.5000  4 Ir 2.68, 4 Li 2.70
Ir 0.5000 0.0000 0.7338  2 Sb 2.68, 4 Li 2.68-2.80, 2 Bi 2.80
Ir 0.0000 0.5000 0.2662  4 Li 2.68-2.80, 2 Sb 2.68, 2 Bi 2.80
Bi 0.5000 0.5000 0.0000  4 Li 2.79, 4 Ir 2.80

The lowest calculated total energy belongs to which entry? Li4BiSbIr2